A geometry-optimized CdTcHg structure. Source: the Alexandria database, functional GGA-PBE.

Computed properties:
As for the spin magnetization: 1.41 Bohr magnetons per cell. As for the formation energy: 50 kJ/mol of atoms. The energy above the most stable polymorph in this dataset is 1.23 kJ/mol of atoms.

a b c (Å): 6.906 6.906 6.906
angles (deg): 155.36 155.36 35.12
Last column: magnetic moment on the atom in μB.
Element x y z (fractional)
Cd (0.011, 0.011, 0.000)  -0.01
Hg (0.323, 0.323, 0.000)  0.01
Tc (0.666, 0.666, 0.000)  1.31

=====

A geometry-optimized La2AlF structure. Source: the Alexandria database, functional GGA-PBE.

Computed properties:
The calculation puts the raw formation energy at -4.3 eV per formula unit. As for the spin magnetization: 0.00 Bohr magnetons per cell. The energy above the most stable polymorph in this dataset is 24.69 kJ/mol of atoms.

a b c (Å): 5.924 5.924 8.156
angles (deg): 68.70 68.70 90.00
Element x y z (fractional)
F (0.500, 0.500, 0.000)
F (0.250, 0.750, 0.500)
Al (0.000, 0.000, 0.000)
Al (0.750, 0.250, 0.500)
La (0.554, 0.125, 0.250)
La (0.196, 0.625, 0.250)
La (0.375, 0.446, 0.750)
La (0.875, 0.804, 0.750)

=====

A geometry-optimized Pm12Pr2In structure. Source: the Alexandria database, functional GGA-PBE.

Computed properties:
As for the spin magnetization: 0.00 Bohr magnetons per cell. As for the formation energy: 20 kJ/mol of atoms.

a b c (Å): 6.741 6.741 23.757
angles (deg): 90.00 90.00 90.00
Element x y z (fractional)
Pm (0.500, 0.500, 0.801)
Pm (0.000, 0.000, 0.801)
Pm (0.753, 0.747, 0.909)
Pm (0.253, 0.753, 0.909)
Pm (0.000, 0.000, 0.329)
Pm (0.247, 0.747, 0.091)
Pm (0.834, 0.334, 0.565)
Pm (0.500, 0.500, 0.329)
Pm (0.247, 0.253, 0.909)
Pm (0.747, 0.753, 0.091)
Pm (0.334, 0.166, 0.565)
Pm (0.666, 0.166, 0.435)
Pm (0.000, 0.000, 0.671)
Pm (0.166, 0.334, 0.435)
Pm (0.253, 0.247, 0.091)
Pm (0.834, 0.666, 0.435)
Pm (0.666, 0.834, 0.565)
Pm (0.000, 0.000, 0.199)
Pm (0.166, 0.666, 0.565)
Pm (0.500, 0.500, 0.671)
Pm (0.747, 0.247, 0.909)
Pm (0.500, 0.500, 0.199)
Pm (0.334, 0.834, 0.435)
Pm (0.753, 0.253, 0.091)
Pr (0.500, 0.000, 0.248)
Pr (0.000, 0.500, 0.248)
Pr (0.000, 0.500, 0.752)
Pr (0.500, 0.000, 0.752)
In (0.500, 0.000, 0.000)
In (0.000, 0.500, 0.000)

=====

A geometry-optimized Y2Hg6Pb structure. Source: the Alexandria database, functional GGA-PBE.

Computed properties:
As for the spin magnetization: 0.00 Bohr magnetons per cell. As for the formation energy: -23 kJ/mol of atoms. The energy above the most stable polymorph in this dataset is 0.00 kJ/mol of atoms.

a b c (Å): 3.437 8.734 8.731
angles (deg): 120.01 90.08 90.00
Element x y z (fractional)
Y (0.001, 0.333, 0.667)
Y (0.999, 0.667, 0.333)
Hg (0.503, 0.335, 0.335)
Hg (0.497, 0.665, 0.665)
Hg (0.497, 0.000, 0.665)
Hg (0.500, 0.665, 0.000)
Hg (0.500, 0.335, 0.000)
Hg (0.503, 0.000, 0.335)
Pb (0.000, 0.000, 0.000)

=====

A geometry-optimized NaV2Te2 structure. Source: the Alexandria database, functional GGA-PBE.

Computed properties:
The calculation puts the raw formation energy at -1.8 eV per formula unit. As for the spin magnetization: 0.00 Bohr magnetons per cell.

a b c (Å): 3.790 3.790 8.444
angles (deg): 77.03 77.03 90.00
Element x y z (fractional)
Na (0.000, 0.000, 0.000)
Te (0.370, 0.370, 0.260)
Te (0.630, 0.630, 0.740)
V (0.750, 0.250, 0.500)
V (0.250, 0.750, 0.500)

=====

A geometry-optimized HoTh8 structure. Source: the Alexandria database, functional GGA-PBE.

Computed properties:
As for the spin magnetization: 0.00 Bohr magnetons per cell. As for the formation energy: 11 kJ/mol of atoms. The energy above the most stable polymorph in this dataset is 8.55 kJ/mol of atoms.

a b c (Å): 3.583 9.168 9.168
angles (deg): 87.81 78.73 78.73
Element x y z (fractional)
Ho (0.000, 0.000, 0.000)
Th (0.668, 0.000, 0.664)
Th (0.332, 0.000, 0.336)
Th (0.331, 0.669, 0.669)
Th (0.668, 0.664, 0.000)
Th (0.000, 0.669, 0.331)
Th (0.332, 0.336, 0.000)
Th (0.669, 0.331, 0.331)
Th (0.000, 0.331, 0.669)

=====

A geometry-optimized Sr3Pr4Se8 structure. Source: the Alexandria database, functional GGA-PBE.

Computed properties:
The calculation puts the raw formation energy at -28.9 eV per formula unit. As for the spin magnetization: 0.00 Bohr magnetons per cell.

a b c (Å): 8.621 8.653 8.653
angles (deg): 90.14 119.69 119.69
Element x y z (fractional)
Sr (0.500, 0.500, 0.000)
Sr (0.500, 0.000, 0.500)
Sr (0.500, 0.500, 0.500)
Pr (0.500, 0.000, 0.000)
Pr (0.000, 0.500, 0.000)
Pr (0.000, 0.000, 0.000)
Pr (0.000, 0.000, 0.500)
Se (0.487, 0.238, 0.238)
Se (0.000, 0.754, 0.246)
Se (0.994, 0.245, 0.245)
Se (0.500, 0.752, 0.248)
Se (0.500, 0.248, 0.752)
Se (0.006, 0.755, 0.755)
Se (0.000, 0.246, 0.754)
Se (0.513, 0.762, 0.762)

=====

A geometry-optimized Sr3Ce2TmAs6 structure. Source: the Alexandria database, functional GGA-PBE.

Computed properties:
As for the spin magnetization: 0.00 Bohr magnetons per cell. As for the formation energy: -121 kJ/mol of atoms.

a b c (Å): 7.444 7.444 7.542
angles (deg): 99.46 99.46 120.04
Element x y z (fractional)
Sr (0.166, 0.834, 0.500)
Sr (0.834, 0.166, 0.500)
Sr (0.500, 0.500, 0.500)
Ce (0.333, 0.667, 0.000)
Ce (0.667, 0.333, 0.000)
Tm (0.000, 0.000, 0.000)
As (0.927, 0.594, 0.780)
As (0.741, 0.741, 0.220)
As (0.073, 0.406, 0.220)
As (0.594, 0.927, 0.780)
As (0.259, 0.259, 0.780)
As (0.406, 0.073, 0.220)